## Re2IrAu (SCAN)

Data for a crystal of Re2IrAu relaxed with PBEsol.

```
data_Re2IrAu
_cell_length_a 2.718
_cell_length_b 2.718
_cell_length_c 8.062
_cell_angle_alpha 90.00
_cell_angle_beta 90.00
_cell_angle_gamma 90.00
_space_group_name_H-M_alt 'P 1'
_space_group_IT_number 1
loop_
_space_group_symop_operation_xyz
'x,y,z'
loop_
_atom_site_label
_atom_site_type_symbol
_atom_site_fract_x
_atom_site_fract_y
_atom_site_fract_z
Re1 Re 0.000 0.000 0.261
Au1 Au 0.500 0.500 0.000
Re2 Re 0.000 0.000 0.739
Ir1 Ir 0.500 0.500 0.500
```

## Properties
N(E_F), states/eV per atom: 0.720
Energy of formation, eV per atom: 0.22



## ReIr2Au (SCAN)

Data for a crystal of ReIr2Au relaxed with PBEsol.

```
data_ReIr2Au
_cell_length_a 3.829
_cell_length_b 3.927
_cell_length_c 3.927
_cell_angle_alpha 90.00
_cell_angle_beta 90.00
_cell_angle_gamma 90.00
_space_group_name_H-M_alt 'P 1'
_space_group_IT_number 1
loop_
_space_group_symop_operation_xyz
'x,y,z'
loop_
_atom_site_label
_atom_site_type_symbol
_atom_site_fract_x
_atom_site_fract_y
_atom_site_fract_z
Au1 Au 0.500 0.000 0.000
Ir1 Ir 0.000 0.000 0.500
Re1 Re 0.500 0.500 0.500
Ir2 Ir 0.000 0.500 0.000
```

## Properties
N(E_F), states/eV per atom: 0.975
Energy of formation, eV per atom: 0.44



## Re2IrAu (SCAN)

Data for a crystal of Re2IrAu relaxed with PBEsol.

```
data_Re2IrAu
_cell_length_a 4.409
_cell_length_b 4.409
_cell_length_c 4.409
_cell_angle_alpha 60.00
_cell_angle_beta 60.00
_cell_angle_gamma 60.00
_space_group_name_H-M_alt 'P 1'
_space_group_IT_number 1
loop_
_space_group_symop_operation_xyz
'x,y,z'
loop_
_atom_site_label
_atom_site_type_symbol
_atom_site_fract_x
_atom_site_fract_y
_atom_site_fract_z
Re1 Re 0.750 0.750 0.750
Re2 Re 0.250 0.250 0.250
Ir1 Ir 0.500 0.500 0.500
Au1 Au 0.000 0.000 0.000
```

## Properties
N(E_F), states/eV per atom: 1.063
Energy of formation, eV per atom: 0.79



## Sr2ReIrAu (SCAN)

Data for a crystal of Sr2ReIrAu relaxed with PBEsol.

```
data_Sr2ReIrAu
_cell_length_a 4.767
_cell_length_b 5.563
_cell_length_c 5.563
_cell_angle_alpha 90.00
_cell_angle_beta 90.00
_cell_angle_gamma 90.00
_space_group_name_H-M_alt 'P 1'
_space_group_IT_number 1
loop_
_space_group_symop_operation_xyz
'x,y,z'
loop_
_atom_site_label
_atom_site_type_symbol
_atom_site_fract_x
_atom_site_fract_y
_atom_site_fract_z
Au1 Au 0.500 0.000 0.000
Sr1 Sr 0.000 0.500 0.000
Re1 Re 0.000 0.000 0.000
Sr2 Sr 0.000 0.000 0.500
Ir1 Ir 0.500 0.500 0.500
```

## Properties
N(E_F), states/eV per atom: 0.788
Energy of formation, eV per atom: 1.31



## ReTe2IrAu (SCAN)

Data for a crystal of ReTe2IrAu relaxed with PBEsol.

```
data_ReTe2IrAu
_cell_length_a 4.809
_cell_length_b 5.044
_cell_length_c 5.044
_cell_angle_alpha 90.00
_cell_angle_beta 90.00
_cell_angle_gamma 90.00
_space_group_name_H-M_alt 'P 1'
_space_group_IT_number 1
loop_
_space_group_symop_operation_xyz
'x,y,z'
loop_
_atom_site_label
_atom_site_type_symbol
_atom_site_fract_x
_atom_site_fract_y
_atom_site_fract_z
Te1 Te 0.000 0.500 0.000
Au1 Au 0.500 0.500 0.500
Re1 Re 0.000 0.000 0.000
Te2 Te 0.000 0.000 0.500
Ir1 Ir 0.500 0.000 0.000
```

## Properties
N(E_F), states/eV per atom: 1.196
Energy relative to the elements, uncorrected, meV/atom: 1308



## IrRh2Au (SCAN)

Data for a crystal of IrRh2Au relaxed with PBEsol.

```
data_IrRh2Au
_cell_length_a 4.367
_cell_length_b 4.367
_cell_length_c 4.367
_cell_angle_alpha 60.00
_cell_angle_beta 60.00
_cell_angle_gamma 60.00
_space_group_name_H-M_alt 'P 1'
_space_group_IT_number 1
loop_
_space_group_symop_operation_xyz
'x,y,z'
loop_
_atom_site_label
_atom_site_type_symbol
_atom_site_fract_x
_atom_site_fract_y
_atom_site_fract_z
Rh1 Rh 0.750 0.750 0.750
Au1 Au 0.000 0.000 0.000
Rh2 Rh 0.250 0.250 0.250
Ir1 Ir 0.500 0.500 0.500
```

## Properties
N(E_F), states/eV per atom: 1.627
Energy of formation, eV per atom: 0.43